Below is a relaxed LiScN2 crystal, with properties calculated at the PBE level.

Unit cell a=6.407 b=6.407 c=6.407 alpha=140.81 beta=140.81 gamma=56.63
Fractional positions:
Li (0.000, 0.000, 0.000)
Li (0.750, 0.250, 0.500)
Sc (0.250, 0.750, 0.500)
Sc (0.500, 0.500, 0.000)
N (0.115, 0.625, 0.990)
N (0.375, 0.365, 0.490)
N (0.635, 0.125, 0.010)
N (0.875, 0.885, 0.510)

Properties
Calculated density = 2.55 Mg/m³
Formation energy without anion corrections = -60 kJ/mol of formula units
Electronic total energy = -0.2344 hartree per atom
Total magnetic moment = 2.00 μB per formula unit
Symmetry = I-42d, No. 122
Energy above the most stable polymorph in this dataset = 122.5 meV per atom